## Th3GaCu4 (PBE-GGA)

Data for a relaxed structure of Th3GaCu4.

## Properties
D(E_F) = 6.7 states/eV/cell
Crystal system = orthorhombic
V = 22.4 Å³ per atom
Total DFT energy (no corrections) = -5.241 eV/atom

Unit cell a=8.377 b=8.377 c=8.377 alpha=153.76 beta=136.18 gamma=51.80
Atoms (fractional coordinates):
1 Th 0.000 0.000 0.000
2 Th 0.300 0.800 0.500
3 Th 0.700 0.200 0.500
4 Ga 0.500 0.500 0.000
5 Cu 0.078 0.377 0.701
6 Cu 0.324 0.623 0.701
7 Cu 0.676 0.377 0.299
8 Cu 0.922 0.623 0.299